Material: Li3In4Rh2
Method: DFT, PBE-GGA
State: relaxed

calculated volume = 156 Å³ per cell
electronic total energy = -0.286 Ry per atom
total magnetic moment = 0.00 μB/f.u.

Lattice parameters (Å, degrees): 4.5742 4.5742 8.6152 90.00 90.00 120.00
Space group P-3m1 (No. 164)
Symmetry-distinct sites (fractional):
Li: 0.0000 0.0000 0.0000
Li: 0.3333 0.6667 0.5407
In: 0.0000 0.0000 0.3274
In: 0.3333 0.6667 0.8847
Rh: 0.3333 0.6667 0.2109